Record 1
PmNd3Bi3 | PBE-GGA | relaxed

```
PmNd3Bi3
1.0
9.6812 0.0000 0.0000
0.0000 9.6812 0.0000
0.0000 0.0000 9.6812
Pm Nd Bi
4 12 12
direct
0.0713 0.4287 0.5713
0.4287 0.5713 0.0713
0.5713 0.0713 0.4287
0.9287 0.9287 0.9287
0.0706 0.5706 0.9294
0.1782 0.1782 0.1782
0.1787 0.8213 0.3213
0.3213 0.1787 0.8213
0.3218 0.8218 0.6782
0.4294 0.4294 0.4294
0.5706 0.9294 0.0706
0.6782 0.3218 0.8218
0.6787 0.6787 0.6787
0.8213 0.3213 0.1787
0.8218 0.6782 0.3218
0.9294 0.0706 0.5706
0.9996 0.2490 0.8741
0.0004 0.7490 0.6259
0.1259 0.4996 0.2510
0.2490 0.8741 0.9996
0.2510 0.1259 0.4996
0.3741 0.5004 0.7510
0.4996 0.2510 0.1259
0.5004 0.7510 0.3741
0.6259 0.0004 0.7490
0.7490 0.6259 0.0004
0.7510 0.3741 0.5004
0.8741 0.9996 0.2490
```

Computed properties:
energy relative to the elements = -0.8312 eV per atom
distance to the lowest polymorph of the same formula = 0.00 eV per formula unit
E = -5.22 eV per atom
volume = 226.8 Å³/f.u.


Record 2
Dy4GaSn3 | PBE-GGA | relaxed

```
Dy4GaSn3
1.0
4.2207 0.0000 0.0000
0.0000 4.4885 0.0000
0.0000 0.0000 11.2830
Dy Ga Sn
4 1 3
direct
0.0000 0.0000 0.0000
0.0000 0.5000 0.4875
0.5000 0.0000 0.7177
0.5000 0.5000 0.2222
0.0000 0.0000 0.2674
0.0000 0.5000 0.7621
0.5000 0.0000 0.4359
0.5000 0.5000 0.9485
```

Computed properties:
energy relative to the elements = -0.7110 eV per atom
E = -4.89 eV per atom
volume = 213.8 Å³/f.u.


Record 3
TeAs2SeN | PBE-GGA | relaxed

```
TeAs2SeN
1.0
5.3695 0.0000 0.0000
0.0000 5.3695 0.0000
0.0000 0.0000 5.2365
Te As Se N
1 2 1 1
direct
0.0000 0.0000 0.0000
0.0000 0.5000 0.0000
0.5000 0.0000 0.0000
0.0000 0.0000 0.5000
0.5000 0.5000 0.5000
```

Computed properties:
distance to the lowest polymorph of the same formula = 6.92 eV per formula unit
E = -2.66 eV per atom
volume = 151.0 Å³/f.u.


Record 4
NaCd3Au | PBE-GGA | relaxed

```
NaCd3Au
1.0
5.5729 0.0000 0.0000
0.0000 5.9629 0.0000
-2.7881 0.0000 7.0964
Na Cd Au
2 6 2
direct
0.2059 0.2500 0.1230
0.7941 0.7500 0.8770
0.2057 0.0012 0.6945
0.2057 0.4988 0.6945
0.3362 0.7500 0.3936
0.6638 0.2500 0.6064
0.7943 0.5012 0.3055
0.7943 0.9988 0.3055
0.3684 0.7500 0.0351
0.6316 0.2500 0.9649
```

Computed properties:
energy relative to the elements = -0.1680 eV per atom
distance to the lowest polymorph of the same formula = 0.00 eV per formula unit
E = -1.64 eV per atom
volume = 117.9 Å³/f.u.


Record 5
Pa4GaGe4 | PBE-GGA | relaxed

```
Pa4GaGe4
1.0
8.2666 0.0000 0.0000
0.0000 8.2666 0.0000
0.0000 0.0000 5.7645
Pa Ga Ge
8 2 8
direct
0.0875 0.8138 0.1204
0.1862 0.5875 0.6204
0.3138 0.9125 0.6204
0.4125 0.6862 0.1204
0.5875 0.3138 0.8796
0.6862 0.0875 0.3796
0.8138 0.4125 0.3796
0.9125 0.1862 0.8796
0.2500 0.2500 0.7500
0.7500 0.7500 0.2500
0.0531 0.1343 0.3815
0.1343 0.4469 0.1185
0.3657 0.0531 0.1185
0.4469 0.3657 0.3815
0.5531 0.6343 0.6185
0.6343 0.9469 0.8815
0.8657 0.5531 0.8815
0.9469 0.8657 0.6185
```

Computed properties:
energy relative to the elements = -0.2220 eV per atom
E = -6.83 eV per atom
volume = 197.0 Å³/f.u.


Record 6
AcHoEr2Tm4 | PBE-GGA | relaxed

```
AcHoEr2Tm4
1.0
5.0298 0.0000 0.0000
0.0000 5.0507 0.0000
0.0000 0.0000 10.0438
Ac Ho Er Tm
1 1 2 4
direct
0.0000 0.0000 0.0000
0.5000 0.5000 0.5000
0.0000 0.0000 0.5000
0.5000 0.5000 0.0000
0.0000 0.5000 0.2592
0.0000 0.5000 0.7408
0.5000 0.0000 0.2597
0.5000 0.0000 0.7403
```

Computed properties:
energy relative to the elements = 0.0528 eV per atom
E = -4.41 eV per atom
volume = 255.2 Å³/f.u.


Record 7
Tm6IrPb3 | PBE-GGA | relaxed

```
Tm6IrPb3
1.0
6.1543 0.0000 0.0000
0.0000 8.6653 0.0000
-5.7673 0.0000 10.6772
Tm Ir Pb
12 2 6
direct
0.0684 0.1562 0.4433
0.0684 0.3438 0.9433
0.3356 0.7026 0.4361
0.3356 0.7974 0.9361
0.4096 0.0509 0.2675
0.4096 0.4491 0.7675
0.5904 0.5509 0.2325
0.5904 0.9491 0.7325
0.6644 0.2026 0.0639
0.6644 0.2974 0.5639
0.9316 0.6562 0.0567
0.9316 0.8438 0.5567
0.5000 0.0000 0.5000
0.5000 0.5000 0.0000
0.0000 0.0000 0.0000
0.0000 0.5000 0.5000
0.1649 0.1129 0.7644
0.1649 0.3871 0.2644
0.8351 0.6129 0.7356
0.8351 0.8871 0.2356
```

Computed properties:
energy relative to the elements = -0.4507 eV per atom
E = -5.13 eV per atom
volume = 284.7 Å³/f.u.


Record 8
Li2GaN2 | PBE-GGA | relaxed

```
Li2GaN2
1.0
5.3816 0.0000 0.0000
0.0000 5.3816 0.0000
0.0000 0.0000 3.3237
Li Ga N
4 2 4
direct
0.1434 0.3566 0.0000
0.3566 0.8566 0.0000
0.6434 0.1434 0.0000
0.8566 0.6434 0.0000
0.0000 0.0000 0.5000
0.5000 0.5000 0.5000
0.1501 0.6501 0.5000
0.3499 0.1501 0.5000
0.6501 0.8499 0.5000
0.8499 0.3499 0.5000
```

Computed properties:
E = -4.56 eV per atom
volume = 48.1 Å³/f.u.


Record 9
Mg2H4Pd | PBE-GGA | relaxed

```
Mg2H4Pd
1.0
3.5037 0.0000 0.0000
0.0000 3.5037 0.0000
0.0000 0.0000 12.0455
Mg H Pd
4 8 2
direct
0.0000 0.0000 0.1404
0.0000 0.0000 0.8596
0.5000 0.5000 0.3596
0.5000 0.5000 0.6404
0.0000 0.0000 0.2941
0.0000 0.0000 0.7059
0.0000 0.5000 0.0000
0.0000 0.5000 0.5000
0.5000 0.0000 0.0000
0.5000 0.0000 0.5000
0.5000 0.5000 0.2059
0.5000 0.5000 0.7941
0.0000 0.0000 0.5000
0.5000 0.5000 0.0000
```

Computed properties:
distance to the lowest polymorph of the same formula = 0.60 eV per formula unit
E = -3.15 eV per atom
volume = 73.9 Å³/f.u.


Record 10
SmZrTcRh | PBE-GGA | relaxed

```
SmZrTcRh
1.0
6.7677 0.0000 0.0000
0.0000 6.7677 0.0000
0.0000 0.0000 6.7677
Sm Zr Tc Rh
4 4 4 4
direct
0.0000 0.0000 0.0000
0.0000 0.5000 0.5000
0.5000 0.0000 0.5000
0.5000 0.5000 0.0000
0.0000 0.0000 0.5000
0.0000 0.5000 0.0000
0.5000 0.0000 0.0000
0.5000 0.5000 0.5000
0.2500 0.2500 0.7500
0.2500 0.7500 0.2500
0.7500 0.2500 0.2500
0.7500 0.7500 0.7500
0.2500 0.2500 0.2500
0.2500 0.7500 0.7500
0.7500 0.2500 0.7500
0.7500 0.7500 0.2500
```

Computed properties:
energy relative to the elements = -0.3658 eV per atom
E = -8.11 eV per atom
volume = 77.5 Å³/f.u.


Record 11
MgIrAu | PBE-GGA | relaxed

```
MgIrAu
1.0
2.8843 0.0000 0.0000
-1.4422 2.4979 0.0000
0.0000 0.0000 6.7966
Mg Ir Au
1 1 1
direct
0.0000 0.0000 0.0000
0.3333 0.6667 0.6931
0.6667 0.3333 0.3361
```

Computed properties:
energy relative to the elements = -0.0917 eV per atom
distance to the lowest polymorph of the same formula = 0.16 eV per formula unit
E = -4.67 eV per atom
volume = 49.0 Å³/f.u.


Record 12
Er2FeNi | PBE-GGA | relaxed

```
Er2FeNi
1.0
6.6234 0.0000 0.0000
0.0000 6.6234 0.0000
0.0000 0.0000 6.6234
Er Fe Ni
8 4 4
direct
0.2500 0.2500 0.2500
0.2500 0.2500 0.7500
0.2500 0.7500 0.2500
0.2500 0.7500 0.7500
0.7500 0.2500 0.2500
0.7500 0.2500 0.7500
0.7500 0.7500 0.2500
0.7500 0.7500 0.7500
0.0000 0.0000 0.0000
0.0000 0.5000 0.5000
0.5000 0.0000 0.5000
0.5000 0.5000 0.0000
0.0000 0.0000 0.5000
0.0000 0.5000 0.0000
0.5000 0.0000 0.0000
0.5000 0.5000 0.5000
```

Computed properties:
energy relative to the elements = -0.1315 eV per atom
distance to the lowest polymorph of the same formula = 0.12 eV per formula unit
E = -5.97 eV per atom
volume = 72.6 Å³/f.u.


Going through the records in order, we get D(E_F) values of 31.753, 4.552, 10.970, 3.937, 27.846, 11.626, 14.889, 2.482, 1.974, 13.729, 2.654, 8.985 states/eV/cell.